[1]
A relaxed structure of Pu2In8Pt. Source: Alexandria, functional PBE.

Unit cell a=4.705 b=4.705 c=12.140 alpha=90.00 beta=90.00 gamma=90.00
Space group P4/mmm (No. 123)
Inequivalent atoms, fractional coordinates:
Pu 0.000 0.000 0.191 (multiplicity 2)
In 0.000 0.500 0.000 (multiplicity 2)
In 0.000 0.500 0.373 (multiplicity 4)
In 0.500 0.500 0.190 (multiplicity 2)
Pt 0.000 0.000 0.500 (multiplicity 1)

Calculated values
crystal system: tetragonal
final energy: -5.458 eV/atom
mass density: 9.90 g cm⁻³
energy of formation: -7.18 kcal/mol of atoms


[2]
A relaxed structure of LaNdRhCl. Source: Alexandria, functional PBE.

Unit cell a=4.0924 b=4.0924 c=23.4112 alpha=90.00 beta=90.00 gamma=120.00
Space group R3m (No. 160, hexagonal axes)
Inequivalent atoms, fractional coordinates:
La 0.0000 0.0000 0.0000 (multiplicity 3)
Nd 0.0000 0.0000 0.1990 (multiplicity 3)
Rh 0.0000 0.0000 0.6005 (multiplicity 3)
Cl 0.0000 0.0000 0.7719 (multiplicity 3)

Calculated values
crystal system: trigonal
final energy: -5.930 eV/atom
formation energy from raw total energies: -1207 meV/atom
mass density: 6.18 g cm⁻³


[3]
A relaxed structure of KZnAgTe2. Source: Alexandria, functional PBE.

Unit cell a=8.267 b=6.719 c=6.228 alpha=90.00 beta=111.62 gamma=90.00
Space group P2/c (No. 13)
Inequivalent atoms, fractional coordinates:
K 0.000 0.232 0.250 (multiplicity 2)
Zn 0.500 0.000 0.000 (multiplicity 2)
Ag 0.500 0.494 0.250 (multiplicity 2)
Te 0.262 0.252 0.879 (multiplicity 4)

Calculated values
crystal system: monoclinic
final energy: -2.765 eV/atom
formation energy from raw total energies: -464 meV/atom
mass density: 4.83 g cm⁻³


[4]
A relaxed structure of CaCd2Pb5. Source: Alexandria, functional PBE.

Unit cell a=4.315 b=9.735 c=11.916 alpha=90.00 beta=90.00 gamma=90.00
Space group Immm (No. 71)
Inequivalent atoms, fractional coordinates:
Ca 0.000 0.000 0.000 (multiplicity 2)
Cd 0.000 0.500 0.278 (multiplicity 4)
Pb 0.000 0.201 0.356 (multiplicity 8)
Pb 0.000 0.500 0.000 (multiplicity 2)

Calculated values
crystal system: orthorhombic
final energy: -2.840 eV/atom
E above lowest polymorph: 54 meV/atom
mass density: 8.63 g cm⁻³
energy of formation: -1.00 kcal/mol of atoms


[5]
A relaxed structure of PmReC. Source: Alexandria, functional PBE.

Unit cell a=3.5438 b=3.5438 c=4.7184 alpha=90.00 beta=90.00 gamma=120.00
Space group P-6m2 (No. 187)
Inequivalent atoms, fractional coordinates:
Pm 0.0000 0.0000 0.0000 (multiplicity 1)
Re 0.6667 0.3333 0.5000 (multiplicity 1)
C 0.3333 0.6667 0.5000 (multiplicity 1)

Calculated values
crystal system: hexagonal
final energy: -8.652 eV/atom
E above lowest polymorph: 151 meV/atom
mass density: 11.11 g cm⁻³
energy of formation: 3.58 kcal/mol of atoms


[6]
A relaxed structure of FeSb. Source: Alexandria, functional PBE.

Unit cell a=6.852 b=8.017 c=12.165 alpha=90.00 beta=90.00 gamma=90.00
Space group Fddd (No. 70, origin choice 2)
Inequivalent atoms, fractional coordinates:
Fe 0.125 0.125 0.026 (multiplicity 16)
Sb 0.125 0.337 0.625 (multiplicity 16)

Calculated values
crystal system: orthorhombic
final energy: -5.933 eV/atom
formation energy from raw total energies: 360 meV/atom
mass density: 7.06 g cm⁻³


[7]
A relaxed structure of Er5HgS4. Source: Alexandria, functional PBE.

Unit cell a=13.211 b=3.872 c=9.863 alpha=90.00 beta=120.21 gamma=90.00
Space group C2/m (No. 12)
Inequivalent atoms, fractional coordinates:
Er 0.000 0.000 0.000 (multiplicity 2)
Er 0.111 0.500 0.392 (multiplicity 4)
Er 0.203 0.000 0.811 (multiplicity 4)
Hg 0.000 0.000 0.500 (multiplicity 2)
S 0.098 0.500 0.903 (multiplicity 4)
S 0.201 0.000 0.290 (multiplicity 4)

Calculated values
crystal system: monoclinic
final energy: -5.581 eV/atom
formation energy from raw total energies: -1618 meV/atom
mass density: 8.87 g cm⁻³